1.
# BaHg2 PBE-GGA relaxed
# ΔH_f (0 K) = -0.378 eV per atom
# SG = Fd-3m, No. 227
# total magnetic moment = 0.00 Bohr magnetons per cell
data_BaHg2
_cell_length_a 6.446
_cell_length_b 6.446
_cell_length_c 6.446
_cell_angle_alpha 60.00
_cell_angle_beta 60.00
_cell_angle_gamma 60.00
_space_group_name_H-M_alt 'P 1'
_space_group_IT_number 1
_space_group_name_Hall 'P 1'
loop_
_atom_site_label
_atom_site_fract_x
_atom_site_fract_y
_atom_site_fract_z
Ba1 0.500 0.500 0.500
Ba2 0.750 0.750 0.750
Hg1 0.625 0.125 0.125
Hg2 0.125 0.625 0.125
Hg3 0.125 0.125 0.625
Hg4 0.125 0.125 0.125

=====

2.
# Ba3Hg2 PBE-GGA relaxed
# ΔH_f (0 K) = -0.283 eV per atom
# SG = Fdd2, No. 43
# total magnetic moment = 0.00 Bohr magnetons per cell
data_Ba3Hg2
_cell_length_a 10.415
_cell_length_b 9.633
_cell_length_c 7.207
_cell_angle_alpha 74.86
_cell_angle_beta 63.23
_cell_angle_gamma 41.91
_space_group_name_H-M_alt 'P 1'
_space_group_IT_number 1
_space_group_name_Hall 'P 1'
loop_
_atom_site_label
_atom_site_fract_x
_atom_site_fract_y
_atom_site_fract_z
Ba1 0.727 0.493 0.414
Ba2 0.366 0.414 0.493
Ba3 0.757 0.523 0.884
Ba4 0.836 0.884 0.523
Ba5 0.104 0.896 0.896
Ba6 0.354 0.146 0.146
Hg1 0.224 0.875 0.323
Hg2 0.579 0.323 0.875
Hg3 0.375 0.026 0.671
Hg4 0.927 0.671 0.026

=====

3.
# Ba3Hg2 PBE-GGA relaxed
# ΔH_f (0 K) = -0.345 eV per atom
# SG = R-3c, No. 167
# total magnetic moment = 0.00 Bohr magnetons per cell
data_Ba3Hg2
_cell_length_a 8.332
_cell_length_b 8.332
_cell_length_c 9.184
_cell_angle_alpha 63.02
_cell_angle_beta 63.02
_cell_angle_gamma 60.00
_space_group_name_H-M_alt 'P 1'
_space_group_IT_number 1
_space_group_name_Hall 'P 1'
loop_
_atom_site_label
_atom_site_fract_x
_atom_site_fract_y
_atom_site_fract_z
Hg1 0.815 0.815 0.555
Hg2 0.315 0.315 0.055
Hg3 0.185 0.185 0.445
Hg4 0.685 0.685 0.945
Ba1 0.136 0.750 0.750
Ba2 0.750 0.364 0.750
Ba3 0.364 0.136 0.750
Ba4 0.250 0.636 0.250
Ba5 0.636 0.864 0.250
Ba6 0.864 0.250 0.250

=====

4.
# Ba2Hg PBE-GGA relaxed
# ΔH_f (0 K) = -0.269 eV per atom
# SG = P6_3/mmc, No. 194
# total magnetic moment = 0.00 Bohr magnetons per cell
data_Ba2Hg
_cell_length_a 5.971
_cell_length_b 5.971
_cell_length_c 8.235
_cell_angle_alpha 90.00
_cell_angle_beta 90.00
_cell_angle_gamma 120.00
_space_group_name_H-M_alt 'P 1'
_space_group_IT_number 1
_space_group_name_Hall 'P 1'
loop_
_atom_site_label
_atom_site_fract_x
_atom_site_fract_y
_atom_site_fract_z
Ba1 0.000 0.000 0.000
Ba2 0.000 0.000 0.500
Ba3 0.333 0.667 0.250
Ba4 0.667 0.333 0.750
Hg1 0.667 0.333 0.250
Hg2 0.333 0.667 0.750

=====

5.
# Ba2Hg PBE-GGA relaxed
# ΔH_f (0 K) = -0.319 eV per atom
# SG = P-62m, No. 189
# total magnetic moment = 0.00 Bohr magnetons per cell
data_Ba2Hg
_cell_length_a 9.041
_cell_length_b 9.041
_cell_length_c 5.711
_cell_angle_alpha 90.00
_cell_angle_beta 90.00
_cell_angle_gamma 120.00
_space_group_name_H-M_alt 'P 1'
_space_group_IT_number 1
_space_group_name_Hall 'P 1'
loop_
_atom_site_label
_atom_site_fract_x
_atom_site_fract_y
_atom_site_fract_z
Ba1 0.260 0.000 0.000
Ba2 0.000 0.260 0.000
Ba3 0.740 0.740 0.000
Ba4 0.593 0.000 0.500
Ba5 0.000 0.593 0.500
Ba6 0.407 0.407 0.500
Hg1 0.333 0.667 0.000
Hg2 0.667 0.333 0.000
Hg3 0.000 0.000 0.500

=====

6.
# BaHg5 PBE-GGA relaxed
# ΔH_f (0 K) = -0.316 eV per atom
# SG = C2/m, No. 12
# total magnetic moment = 0.00 Bohr magnetons per cell
data_BaHg5
_cell_length_a 5.394
_cell_length_b 5.394
_cell_length_c 7.138
_cell_angle_alpha 84.98
_cell_angle_beta 84.98
_cell_angle_gamma 59.33
_space_group_name_H-M_alt 'P 1'
_space_group_IT_number 1
_space_group_name_Hall 'P 1'
loop_
_atom_site_label
_atom_site_fract_x
_atom_site_fract_y
_atom_site_fract_z
Ba1 0.972 0.972 0.056
Hg1 0.290 0.290 0.330
Hg2 0.654 0.654 0.782
Hg3 0.622 0.622 0.327
Hg4 0.972 0.972 0.555
Hg5 0.323 0.323 0.784

=====

7.
# BaHg PBE-GGA relaxed
# ΔH_f (0 K) = -0.259 eV per atom
# SG = I4/m, No. 87
# total magnetic moment = 0.59 Bohr magnetons per cell
data_BaHg
_cell_length_a 11.170
_cell_length_b 11.170
_cell_length_c 6.063
_cell_angle_alpha 90.00
_cell_angle_beta 90.00
_cell_angle_gamma 90.00
_space_group_name_H-M_alt 'P 1'
_space_group_IT_number 1
_space_group_name_Hall 'P 1'
loop_
_atom_site_label
_atom_site_fract_x
_atom_site_fract_y
_atom_site_fract_z
Ba1 0.384 0.748 0.000
Ba2 0.616 0.252 0.000
Ba3 0.252 0.384 0.000
Ba4 0.748 0.616 0.000
Ba5 0.884 0.248 0.500
Ba6 0.116 0.752 0.500
Ba7 0.752 0.884 0.500
Ba8 0.248 0.116 0.500
Hg1 0.372 0.067 0.000
Hg2 0.628 0.933 0.000
Hg3 0.933 0.372 0.000
Hg4 0.067 0.628 0.000
Hg5 0.872 0.567 0.500
Hg6 0.128 0.433 0.500
Hg7 0.433 0.872 0.500
Hg8 0.567 0.128 0.500

=====

8.
# Ba2Hg PBE-GGA relaxed
# ΔH_f (0 K) = -0.347 eV per atom
# SG = C2/m, No. 12
# total magnetic moment = 0.00 Bohr magnetons per cell
data_Ba2Hg
_cell_length_a 8.169
_cell_length_b 8.169
_cell_length_c 10.173
_cell_angle_alpha 56.43
_cell_angle_beta 56.43
_cell_angle_gamma 31.55
_space_group_name_H-M_alt 'P 1'
_space_group_IT_number 1
_space_group_name_Hall 'P 1'
loop_
_atom_site_label
_atom_site_fract_x
_atom_site_fract_y
_atom_site_fract_z
Ba1 0.941 0.941 0.094
Ba2 0.693 0.693 0.620
Ba3 0.362 0.362 0.769
Ba4 0.114 0.114 0.294
Hg1 0.403 0.403 0.391
Hg2 0.652 0.652 0.998

=====

The lowest ΔH_f (0 K) belongs to which entry?
BaHg2

=====

Repeat the eighth record exactly.
# Ba2Hg PBE-GGA relaxed
# ΔH_f (0 K) = -0.347 eV per atom
# SG = C2/m, No. 12
# total magnetic moment = 0.00 Bohr magnetons per cell
data_Ba2Hg
_cell_length_a 8.169
_cell_length_b 8.169
_cell_length_c 10.173
_cell_angle_alpha 56.43
_cell_angle_beta 56.43
_cell_angle_gamma 31.55
_space_group_name_H-M_alt 'P 1'
_space_group_IT_number 1
_space_group_name_Hall 'P 1'
loop_
_atom_site_label
_atom_site_fract_x
_atom_site_fract_y
_atom_site_fract_z
Ba1 0.941 0.941 0.094
Ba2 0.693 0.693 0.620
Ba3 0.362 0.362 0.769
Ba4 0.114 0.114 0.294
Hg1 0.403 0.403 0.391
Hg2 0.652 0.652 0.998